A relaxed Ce4AsCl5 crystal, computed with PBE.

Values from the calculation:
For the distance to the lowest polymorph of the same formula, the calculation gives 0.00 eV/f.u. For the density of states at the Fermi level, the calculation gives 22.6 states/eV/cell. The calculated volume comes out at 29.235 Å³ per atom. The uncorrected formation energy comes out at -1.779 eV per atom. Its spin magnetization is 5.09 Bohr magnetons per cell.

a = 4.0038 Å, b = 8.4646 Å, c = 9.0284 Å
α = 101.24°, β = 102.81°, γ = 90.00°
Closest atoms and distances in Å follow each position.
Positions (direct):
Ce1 0.6673 0.0707 0.3347  5 Cl 2.88-2.93, 1 As 2.89
Ce2 0.0018 0.2414 0.0036  2 As 2.86, 4 Cl 2.86-2.97
Ce3 0.3327 0.9293 0.6653  5 Cl 2.88-2.93, 1 As 2.89
Ce4 0.9982 0.7586 0.9964  2 As 2.86, 4 Cl 2.86-2.97
As1 0.5000 0.0000 0.0000  6 Ce 2.86-2.89
Cl1 0.1675 0.3154 0.3351  3 Ce 2.86-2.88
Cl2 0.1653 0.8172 0.3306  4 Ce 2.88-2.93
Cl3 0.8347 0.1828 0.6694  4 Ce 2.88-2.93
Cl4 0.5000 0.5000 0.0000  4 Ce 2.97
Cl5 0.8325 0.6846 0.6649  3 Ce 2.86-2.88